1.
Entry from Alexandria via LeMat-Bulk: a relaxed structure of Y2TlRu (GGA-PBEsol).

Cell and atoms, written as POSCAR:
```
Y2TlRu
1.0
3.4061 0.0000 0.0000
0.0000 3.4061 0.0000
0.0000 0.0000 7.8040
Y Tl Ru
2 1 1
direct
0.0000 0.0000 0.2087
0.0000 0.0000 0.7913
0.5000 0.5000 0.5000
0.5000 0.5000 0.0000
```

## Properties
- Final energy: -7.03 eV/atom
- Formation energy from the elements: -0.414 eV per atom
- D(E_F): 1.93 states/eV/f.u.

=====

2.
Entry from Alexandria via LeMat-Bulk: a relaxed structure of YTlRu2 (GGA-PBEsol).

Cell and atoms, written as POSCAR:
```
YTlRu2
1.0
0.0000 3.3225 3.3225
3.3225 0.0000 3.3225
3.3225 3.3225 0.0000
Y Tl Ru
1 1 2
direct
0.0000 0.0000 0.0000
0.2500 0.2500 0.2500
0.5000 0.5000 0.5000
0.7500 0.7500 0.7500
```

## Properties
- Final energy: -7.09 eV/atom
- Formation energy from the elements: 0.358 eV per atom
- D(E_F): 3.71 states/eV/f.u.

=====

3.
Entry from Alexandria via LeMat-Bulk: a relaxed structure of YTlRu2 (GGA-PBEsol).

Cell and atoms, written as POSCAR:
```
YTlRu2
1.0
3.1622 0.0000 0.0000
0.0000 4.4417 0.0000
-0.5427 0.0000 5.6187
Y Tl Ru
1 1 2
direct
0.0000 0.0000 0.0000
0.5000 0.0000 0.5000
0.4254 0.5000 0.7926
0.5746 0.5000 0.2074
```

## Properties
- Final energy: -7.14 eV/atom
- Formation energy from the elements: 0.313 eV per atom
- D(E_F): 3.20 states/eV/f.u.

=====

4.
Entry from Alexandria via LeMat-Bulk: a relaxed structure of YTlRu2 (GGA-PBEsol).

Cell and atoms, written as POSCAR:
```
YTlRu2
1.0
3.3706 0.0000 0.0000
0.0000 3.3706 0.0000
0.0000 0.0000 6.3316
Y Tl Ru
1 1 2
direct
0.0000 0.0000 0.0000
0.0000 0.0000 0.5000
0.5000 0.5000 0.2644
0.5000 0.5000 0.7356
```

## Properties
- Final energy: -7.28 eV/atom
- Formation energy from the elements: 0.166 eV per atom
- D(E_F): 5.53 states/eV/f.u.

=====

5.
Entry from Alexandria via LeMat-Bulk: a relaxed structure of Zr2TlRu (GGA-PBEsol).

Cell and atoms, written as POSCAR:
```
Zr2TlRu
1.0
3.1573 0.0000 0.0000
0.0000 3.1533 0.0000
-0.2151 0.0000 7.8732
Zr Tl Ru
2 1 1
direct
0.0178 0.0000 0.2902
0.9822 0.0000 0.7098
0.5000 0.5000 0.0000
0.5000 0.5000 0.5000
```

## Properties
- Final energy: -8.08 eV/atom
- Formation energy from the elements: -0.334 eV per atom
- D(E_F): 2.87 states/eV/f.u.

=====

6.
Entry from Alexandria via LeMat-Bulk: a relaxed structure of ZrTl3Ru (GGA-PBEsol).

Cell and atoms, written as POSCAR:
```
ZrTl3Ru
1.0
5.4203 0.0000 0.0000
0.0000 5.4203 0.0000
0.0000 0.0000 5.4203
Zr Tl Ru
1 3 1
direct
0.0000 0.0000 0.0000
0.0000 0.0000 0.5000
0.0000 0.5000 0.0000
0.5000 0.0000 0.0000
0.5000 0.5000 0.5000
```

## Properties
- Final energy: -3.83 eV/atom
- Formation energy from the elements: 1.598 eV per atom
- D(E_F): 9.48 states/eV/f.u.

=====

What did the third record say?
Entry from Alexandria via LeMat-Bulk: a relaxed structure of YTlRu2 (GGA-PBEsol).

Cell and atoms, written as POSCAR:
```
YTlRu2
1.0
3.1622 0.0000 0.0000
0.0000 4.4417 0.0000
-0.5427 0.0000 5.6187
Y Tl Ru
1 1 2
direct
0.0000 0.0000 0.0000
0.5000 0.0000 0.5000
0.4254 0.5000 0.7926
0.5746 0.5000 0.2074
```

## Properties
- Final energy: -7.14 eV/atom
- Formation energy from the elements: 0.313 eV per atom
- D(E_F): 3.20 states/eV/f.u.

=====

Q: Among the records above, which one has the highest final energy?
A: ZrTl3Ru